Hf2GaCo2 (SCAN, single point on PBEsol structure); energy relative to the elements = -0.40 eV/atom; D(E_F) = 8.7 states/eV per cell
1.0
6.794 0.000 0.000
0.000 6.794 0.000
0.000 0.000 3.255
Hf Ga Co
4 2 4
Cartesian
1.171 2.226 0.000 Hf
2.226 5.623 0.000 Hf
4.568 1.171 0.000 Hf
5.623 4.568 0.000 Hf
0.000 0.000 1.628 Ga
3.397 3.397 1.628 Ga
0.873 4.270 1.628 Co
2.524 0.873 1.628 Co
4.270 5.921 1.628 Co
5.921 2.524 1.628 Co

K2PBr (SCAN, single point on PBEsol structure); formation energy (no corrections) = -696 meV per atom; D(E_F) = 1.4 states/eV per cell
1.0
4.628 0.000 0.000
0.000 4.628 0.000
0.000 0.000 6.647
K P Br
2 1 1
Cartesian
0.000 0.000 0.000 K
2.314 2.314 3.323 K
0.000 0.000 3.323 P
2.314 2.314 0.000 Br

Zn3Cu2As4O16 (SCAN, single point on PBEsol structure); formation energy (no corrections) = -1207 meV per atom
1.0
5.323 0.000 0.000
2.434 6.463 0.000
1.587 0.920 9.099
Zn Cu As O
3 2 4 16
Cartesian
0.000 0.000 0.000 Zn
2.670 2.456 2.793 Zn
5.999 6.671 4.711 Zn
3.404 4.799 5.944 Cu
5.136 4.360 1.279 Cu
3.332 5.976 3.005 As
3.486 3.723 8.843 As
6.742 6.407 7.571 As
5.509 3.197 4.186 As
1.691 2.653 4.701 O
3.704 4.369 2.445 O
4.307 4.064 7.338 O
2.368 0.387 3.141 O
5.539 7.015 6.537 O
3.057 2.278 0.866 O
5.791 6.184 9.049 O
4.958 4.683 4.911 O
4.234 2.073 4.076 O
5.587 1.030 7.700 O
7.187 4.854 6.877 O
6.129 3.564 2.567 O
5.133 0.238 1.959 O
6.637 4.424 0.242 O
7.845 5.753 4.542 O
7.464 2.742 8.722 O

In2SiAu (SCAN, single point on PBEsol structure); formation energy (no corrections) = 164 meV per atom; D(E_F) = 3.1 states/eV per cell
1.0
3.110 0.000 0.000
0.000 4.769 0.000
0.000 0.000 11.242
In Si Au
4 2 2
Cartesian
0.000 0.000 0.000 In
0.000 2.384 2.089 In
1.555 0.000 7.710 In
1.555 2.384 5.621 In
0.000 0.000 4.874 Si
1.555 2.384 10.495 Si
0.000 2.384 8.480 Au
1.555 0.000 2.859 Au

| no. | ρ (g cm⁻³) |
| --- | --- |
| 1 | 12.038 |
| 2 | 2.205 |
| 3 | 4.663 |
| 4 | 9.058 |